No. 1
Computed, not measured: crystalline La2ReO8 at its relaxed geometry at the PBE level of DFT.

Cell lengths 3.8984, 4.8728, 7.8539 Å; angles 104.35, 104.37, 90.00 degrees
Positions (direct):
O 0.7568 0.7238 0.5136
O 0.4601 0.5507 0.9202
O 0.9849 0.7915 0.9698
O 0.6186 0.0062 0.2371
O 0.5399 0.4493 0.0798
O 0.2432 0.2762 0.4864
O 0.3814 0.9938 0.7629
O 0.0151 0.2085 0.0302
La 0.8257 0.3144 0.6514
La 0.1743 0.6856 0.3486
Re 0.5000 0.0000 0.0000

E_tot	-0.2762	Ha/atom
total magnetization	0.4	μB per formula unit
Fermi-level density of states	1.764	states/eV per cell


No. 2
Computed, not measured: crystalline PrNdTm2 at its relaxed geometry at the PBE level of DFT.

Cell lengths 3.6228, 3.6228, 9.9889 Å; angles 90.00, 90.00, 90.00 degrees
Positions (direct):
Pr 0.5000 0.5000 0.5000
Nd 0.5000 0.5000 0.0000
Tm 0.0000 0.0000 0.7511
Tm 0.0000 0.0000 0.2489

E_tot	-0.1690	Ha/atom
total magnetization	0.0	μB per formula unit
offset from the most stable computed form	6	meV/atom
energy of formation	0.02	eV/atom
Fermi-level density of states	6.000	states/eV per cell


No. 3
Computed, not measured: crystalline NbNiS at its relaxed geometry at the PBE level of DFT.

Cell lengths 3.3796, 7.3075, 7.3075 Å; angles 90.00, 90.00, 90.00 degrees
Positions (direct):
Nb 0.0000 0.0563 0.7684
Nb 0.0000 0.9437 0.2316
Nb 0.5000 0.2316 0.0563
Nb 0.5000 0.7684 0.9437
Ni 0.5000 0.8432 0.5649
Ni 0.5000 0.1568 0.4351
Ni 0.0000 0.5649 0.1568
Ni 0.0000 0.4351 0.8432
S 0.5000 0.3034 0.7013
S 0.5000 0.6966 0.2987
S 0.0000 0.2987 0.3034
S 0.0000 0.7013 0.6966

E_tot	-0.2660	Ha/atom
total magnetization	0.0	μB per formula unit
offset from the most stable computed form	0	meV/atom
Fermi-level density of states	5.682	states/eV per cell


No. 4
Computed, not measured: crystalline ZrTcRh at its relaxed geometry at the PBE level of DFT.

Cell lengths 6.4605, 6.4603, 2.8633 Å; angles 77.20, 77.19, 25.61 degrees
Positions (direct):
Rh 0.9858 0.9858 0.0142
Tc 0.3484 0.3484 0.6516
Zr 0.6658 0.6658 0.3342

E_tot	-0.3290	Ha/atom
total magnetization	0.0	μB per formula unit
offset from the most stable computed form	0	meV/atom
energy of formation	-0.20	eV/atom
Fermi-level density of states	3.306	states/eV per cell